Model a:
VASP calculation (PBE) on crystalline K2Tl2In at its relaxed geometry.

Computed properties:
total moment = 0.0 μB per cell
space-group type = I4/mmm (139)

a b c (Å): 11.1315 11.1315 11.1315
angles (deg): 157.07 157.07 32.65
Sites, in units of the cell vectors:
K  0.0997  0.0997  0.0000
K  0.9003  0.9003  0.0000
Tl  0.2500  0.7500  0.5000
Tl  0.7500  0.2500  0.5000
In  0.5000  0.5000  0.0000

Model b:
VASP calculation (PBE) on crystalline K2Tl2In at its relaxed geometry.

Computed properties:
total moment = 0.0 μB per cell
space-group type = P4/mbm (127)

a b c (Å): 10.4460 10.4460 3.4720
angles (deg): 90.00 90.00 90.00
Sites, in units of the cell vectors:
K  0.1854  0.3146  0.0000
K  0.3146  0.8146  0.0000
K  0.6854  0.1854  0.0000
K  0.8146  0.6854  0.0000
Tl  0.1098  0.6098  0.5000
Tl  0.3902  0.1098  0.5000
Tl  0.6098  0.8902  0.5000
Tl  0.8902  0.3902  0.5000
In  0.0000  0.0000  0.0000
In  0.5000  0.5000  0.0000

Model c:
VASP calculation (PBE) on crystalline K2Tl2In at its relaxed geometry.

Computed properties:
total moment = 0.0 μB per cell
space-group type = C2/m (12)

a b c (Å): 6.9180 6.9180 13.0348
angles (deg): 115.75 115.75 44.25
Sites, in units of the cell vectors:
K  0.0013  0.0013  0.3311
K  0.2054  0.2054  0.1149
K  0.7946  0.7946  0.8851
K  0.9987  0.9987  0.6689
Tl  0.3554  0.3554  0.4482
Tl  0.4990  0.4990  0.1148
Tl  0.5010  0.5010  0.8852
Tl  0.6446  0.6446  0.5518
In  0.2820  0.2820  0.6484
In  0.7180  0.7180  0.3516

Quick ranking, most stable first: model c, model a, model b.

Model a:
VASP calculation (PBE) on crystalline KTl3In2 at its relaxed geometry.

Computed properties:
total moment = 0.0 μB per cell
space-group type = Cmcm (63)

a b c (Å): 8.7116 8.7116 6.2682
angles (deg): 90.00 90.00 62.12
Sites, in units of the cell vectors:
K  0.1721  0.8279  0.7500
K  0.8279  0.1721  0.2500
Tl  0.0131  0.6563  0.2500
Tl  0.3437  0.9869  0.2500
Tl  0.4184  0.5816  0.2500
Tl  0.5816  0.4184  0.7500
Tl  0.6563  0.0131  0.7500
Tl  0.9869  0.3437  0.7500
In  0.3123  0.3123  0.0000
In  0.3123  0.3123  0.5000
In  0.6877  0.6877  0.0000
In  0.6877  0.6877  0.5000

Model b:
VASP calculation (PBE) on crystalline KTl3In2 at its relaxed geometry.

Computed properties:
total moment = 0.0 μB per cell
space-group type = Cmcm (63)

a b c (Å): 7.9861 7.9861 6.3160
angles (deg): 90.00 90.00 89.85
Sites, in units of the cell vectors:
K  0.1919  0.8081  0.7500
K  0.8081  0.1919  0.2500
Tl  0.0702  0.5914  0.2500
Tl  0.4086  0.9298  0.2500
Tl  0.4748  0.5252  0.2500
Tl  0.5252  0.4748  0.7500
Tl  0.5914  0.0702  0.7500
Tl  0.9298  0.4086  0.7500
In  0.2424  0.2424  0.0000
In  0.2424  0.2424  0.5000
In  0.7576  0.7576  0.0000
In  0.7576  0.7576  0.5000

Quick ranking, most stable first: model b, model a.

Model a:
VASP calculation (PBE) on crystalline KTlIn3 at its relaxed geometry.

Computed properties:
total moment = 0.0 μB per cell
space-group type = Cmcm (63)

a b c (Å): 7.5705 7.5705 6.8462
angles (deg): 90.00 90.00 120.10
Sites, in units of the cell vectors:
K  0.1664  0.8336  0.7500
K  0.8336  0.1664  0.2500
Tl  0.5000  0.5000  0.0000
Tl  0.5000  0.5000  0.5000
In  0.1060  0.3034  0.7500
In  0.3034  0.1060  0.2500
In  0.3032  0.6968  0.2500
In  0.6968  0.3032  0.7500
In  0.6966  0.8940  0.7500
In  0.8940  0.6966  0.2500

Model b:
VASP calculation (PBE) on crystalline KTlIn3 at its relaxed geometry.

Computed properties:
total moment = 0.0 μB per cell
space-group type = Pm-3m (221)

a b c (Å): 5.9067 5.9067 5.9067
angles (deg): 90.00 90.00 90.00
Sites, in units of the cell vectors:
K  0.0000  0.0000  0.0000
Tl  0.5000  0.5000  0.5000
In  0.0000  0.5000  0.5000
In  0.5000  0.0000  0.5000
In  0.5000  0.5000  0.0000

Quick ranking, most stable first: model a, model b.

Model a:
VASP calculation (PBE) on crystalline KTlIn3 at its relaxed geometry.

Computed properties:
total moment = 0.0 μB per cell
space-group type = P1 (1)

a b c (Å): 4.9489 4.9500 7.4218
angles (deg): 70.65 70.61 89.87
Sites, in units of the cell vectors:
K  0.0000  0.0000  0.0000
Tl  0.6082  0.6076  0.7826
In  0.2499  0.7531  0.4976
In  0.3834  0.3852  0.2324
In  0.7514  0.2496  0.4980

Model b:
VASP calculation (PBE) on crystalline KTlIn3 at its relaxed geometry.

Computed properties:
total moment = 0.0 μB per cell
space-group type = Pm-3m (221)

a b c (Å): 6.0824 6.0824 6.0824
angles (deg): 90.00 90.00 90.00
Sites, in units of the cell vectors:
K  0.0000  0.0000  0.0000
Tl  0.5000  0.5000  0.5000
In  0.0000  0.0000  0.5000
In  0.0000  0.5000  0.0000
In  0.5000  0.0000  0.0000

Quick ranking, most stable first: model a, model b.

Model a:
VASP calculation (PBE) on crystalline KTl4In2 at its relaxed geometry.

Computed properties:
total moment = 0.0 μB per cell
space-group type = C2/m (12)

a b c (Å): 6.7754 6.7754 6.0672
angles (deg): 116.20 116.20 78.69
Sites, in units of the cell vectors:
K  0.0000  0.0000  0.0000
Tl  0.0004  0.3816  0.6911
Tl  0.9996  0.6184  0.3089
Tl  0.3816  0.0004  0.6911
Tl  0.6184  0.9996  0.3089
In  0.4985  0.4985  0.2487
In  0.5015  0.5015  0.7513

Model b:
VASP calculation (PBE) on crystalline KTl4In2 at its relaxed geometry.

Computed properties:
total moment = 0.0 μB per cell
space-group type = Cmmm (65)

a b c (Å): 8.7593 8.7593 4.9765
angles (deg): 90.00 90.00 142.04
Sites, in units of the cell vectors:
K  0.0000  0.0000  0.0000
Tl  0.1753  0.8247  0.5000
Tl  0.3030  0.6970  0.0000
Tl  0.6970  0.3030  0.0000
Tl  0.8247  0.1753  0.5000
In  0.4110  0.5890  0.5000
In  0.5890  0.4110  0.5000

Quick ranking, most stable first: model a, model b.

Model a:
VASP calculation (PBE) on crystalline KTl5In2 at its relaxed geometry.

Computed properties:
total moment = 0.0 μB per cell
space-group type = Immm (71)

a b c (Å): 8.7309 8.7309 8.7309
angles (deg): 156.98 105.21 79.47
Sites, in units of the cell vectors:
K  0.0000  0.0000  0.0000
Tl  0.1330  0.3658  0.7671
Tl  0.4013  0.6342  0.7671
Tl  0.5000  0.0000  0.5000
Tl  0.5987  0.3658  0.2329
Tl  0.8670  0.6342  0.2329
In  0.2505  0.7505  0.5000
In  0.7495  0.2495  0.5000

Model b:
VASP calculation (PBE) on crystalline KTl5In2 at its relaxed geometry.

Computed properties:
total moment = 0.0 μB per cell
space-group type = I4/mcm (140)

a b c (Å): 9.2430 9.2430 9.2430
angles (deg): 124.93 124.93 81.65
Sites, in units of the cell vectors:
K  0.2500  0.2500  0.0000
K  0.7500  0.7500  0.0000
Tl  0.0000  0.0000  0.0000
Tl  0.0061  0.5061  0.2108
Tl  0.2047  0.9939  0.5000
Tl  0.2953  0.7953  0.7892
Tl  0.4939  0.7047  0.5000
Tl  0.5000  0.5000  0.0000
Tl  0.5061  0.2953  0.5000
Tl  0.7047  0.2047  0.2108
Tl  0.7953  0.0061  0.5000
Tl  0.9939  0.4939  0.7892
In  0.1503  0.3497  0.5000
In  0.3497  0.8497  0.1994
In  0.6503  0.1503  0.8006
In  0.8497  0.6503  0.5000

Quick ranking, most stable first: model a, model b.